1.
Computed, not measured: a relaxed SrP3S9 crystal at the PBE-GGA level of DFT.

Output
**Formation energy from raw total energies**: -0.376 eV per atom
**Electronic total energy**: -4.6110 eV/atom

```
26
Lattice="5.2215 -6.9065 0.0000 5.2215 6.9065 0.0000 0.0000 0.0000 9.6383" Properties=species:S:1:pos:R:3 pbc="T T T"
Sr 1.3799 0.0000 0.0000
Sr 9.0631 0.0000 4.8191
P 2.4361 0.0000 4.8191
P 5.1626 2.2206 5.5792
P 5.2803 2.2206 8.8783
P 5.1626 -2.2206 4.0591
P 5.2803 -2.2206 0.7600
P 8.0069 0.0000 0.0000
S 1.3133 0.4290 6.4241
S 4.3360 3.9564 6.2522
S 1.3133 -0.4290 3.2142
S 3.5629 2.3068 0.2068
S 3.7069 1.5449 4.1236
S 6.1070 3.9564 8.2052
S 5.2215 0.8380 7.2287
S 3.7069 -1.5449 5.5147
S 6.8801 2.3068 4.6124
S 3.5629 -2.3068 9.4315
S 6.7360 1.5449 0.6955
S 5.2215 -0.8380 2.4096
S 4.3360 -3.9564 3.3861
S 6.7360 -1.5449 8.9427
S 6.8801 -2.3068 5.0259
S 9.1297 0.4290 8.0333
S 6.1070 -3.9564 1.4331
S 9.1297 -0.4290 1.6049
```

=====

2.
Computed, not measured: a relaxed CuMoI2N crystal at the PBE-GGA level of DFT.

Output
**Energy above the lowest structure with this stoichiometry**: 0 meV/atom
**Formation energy from raw total energies**: 0.535 eV per atom
**Electronic total energy**: -4.7352 eV/atom

```
5
Lattice="5.5576 0.0000 0.0000 0.0000 5.5576 0.0000 0.0000 0.0000 3.8134" Properties=species:S:1:pos:R:3 pbc="T T T"
Cu 0.0000 0.0000 0.0000
Mo 2.7788 2.7788 1.9067
I 0.0000 2.7788 1.9067
I 2.7788 0.0000 1.9067
N 2.7788 2.7788 0.0000
```

=====

3.
Computed, not measured: a relaxed Tm2NiHg crystal at the PBE-GGA level of DFT.

Output
**Energy above the lowest structure with this stoichiometry**: 128 meV/atom
**Electronic total energy**: -4.1042 eV/atom

```
4
Lattice="1.9410 1.1206 7.4724 -1.9410 1.1206 7.4724 0.0000 -2.2412 7.4724" Properties=species:S:1:pos:R:3 pbc="T T T"
Tm 0.0000 0.0000 0.0000
Tm 0.0000 0.0000 4.5207
Ni 0.0000 0.0000 13.4378
Hg 0.0000 0.0000 9.7448
```